## BeAgW2 (PBE-GGA)

Data for a relaxed structure of BeAgW2.

Cell: 5.227 8.531 2.696 Å, 90.00 90.00 90.00°
Space group Cmmm (No. 65)
Asymmetric unit:
Be 0.000 0.000 0.000
Ag 0.000 0.500 0.000
W 0.250 0.250 0.500

Output
* formation energy from the elements: 0.574 eV/atom

=====

## PmSbP2 (PBE-GGA)

Data for a relaxed structure of PmSbP2.

Cell: 4.2736 4.2736 23.5542 Å, 90.00 90.00 120.00°
Space group R-3m (No. 166, hexagonal axes)
Asymmetric unit:
Pm 0.0000 0.0000 0.0000
Sb 0.0000 0.0000 0.5000
P 0.0000 0.0000 0.3952

Output
* uncorrected formation energy: -0.1202 eV/atom

=====

## MgTi2NbW (PBE-GGA)

Data for a relaxed structure of MgTi2NbW.

Cell: 4.841 4.841 4.880 Å, 90.00 90.00 90.00°
Space group P4/mmm (No. 123)
Asymmetric unit:
Mg 0.000 0.000 0.000
Ti 0.000 0.500 0.500
Nb 0.500 0.500 0.000
W 0.500 0.500 0.500

Output
* formation energy from the elements: 0.914 eV/atom

=====

## HfGeCl (PBE-GGA)

Data for a relaxed structure of HfGeCl.

Cell: 22.184 3.650 7.020 Å, 90.00 94.54 90.00°
Space group C2/m (No. 12)
Asymmetric unit:
Hf 0.154 0.000 0.092
Hf 0.155 0.000 0.610
Ge 0.249 0.500 0.124
Ge 0.249 0.500 0.626
Cl 0.067 0.000 0.828
Cl 0.096 0.500 0.338

Output
* uncorrected formation energy: -0.6658 eV/atom

=====

## HfZrP3 (PBE-GGA)

Data for a relaxed structure of HfZrP3.

Cell: 4.855 4.855 4.855 Å, 90.00 90.00 90.00°
Space group Pm-3m (No. 221)
Asymmetric unit:
Hf 0.000 0.000 0.000
Zr 0.500 0.500 0.500
P 0.000 0.000 0.500

Output
* formation energy from the elements: 0.218 eV/atom

=====

## LiTmGe2Pt2 (PBE-GGA)

Data for a relaxed structure of LiTmGe2Pt2.

Cell: 4.3594 4.3594 6.3223 Å, 90.00 90.00 120.00°
Space group P-3m1 (No. 164)
Asymmetric unit:
Li 0.0000 0.0000 0.0000
Tm 0.0000 0.0000 0.5000
Ge 0.3333 0.6667 0.7942
Pt 0.3333 0.6667 0.2219

Output
* formation energy from the elements: -0.882 eV/atom

=====

no.,DOS(E_F) (states/eV/f.u.)
1,2.8
2,1.6
3,6.9
4,1.8
5,5.1
6,2.4